This record from Alexandria describes a relaxed structure of Y2CoHRh. The functional is PBE.

Cell: 4.8658 4.8658 3.4069 Å, 90.00 90.00 90.00°
With the nearest neighbours (Å) after each atom.
Space group P4/mmm (No. 123)
Unique sites:
Y 0.0000 0.5000 0.0000 x2  2 H 2.43
Co 0.0000 0.0000 0.5000 x1  2 H 1.70
H 0.0000 0.0000 0.0000 x1  2 Co 1.70
Rh 0.5000 0.5000 0.5000 x1  8 Y 2.97

Calculated values
Its uncorrected energy is -33.36 eV for the cell shown. Its distance to the lowest polymorph of the same formula is 0 meV/atom.